The following is a PBE calculation of Th4RuCS2 after structural relaxation, from Alexandria via LeMat-Bulk.

Lattice parameters (Å, degrees): 6.952 3.935 7.125 90.00 108.01 90.00
Space group P2/m (No. 10)
Symmetry-distinct sites (fractional):
Th (0.227, 0.000, 0.220)
Th (0.242, 0.500, 0.771)
Ru (0.500, 0.000, 0.000)
C (0.000, 0.500, 0.000)
S (0.000, 0.000, 0.500)
S (0.500, 0.500, 0.500)

Output
- Fermi-level density of states (states/eV/cell) = 6.09
- magnetization (μB/f.u.) = 0.0
- uncorrected formation energy (eV per atom) = -1.09